[1]
Entry from Alexandria: Pm4Sn5Hg after structural relaxation (PBE).

Energy of formation, eV/atom: -0.571
Space group: Immm
Electronic total energy, eV/atom: -4.503
Size of the total moment, μB per formula unit: 0.00

The structure in POSCAR format:
```
Pm4Sn5Hg
1.0
4.505 0.000 0.000
0.000 11.544 0.000
0.000 0.000 11.172
Sn Pm Hg
10 8 2
direct
0.250 0.795 0.679
0.750 0.705 0.821
0.250 0.205 0.321
0.251 0.000 0.500
0.750 0.295 0.821
0.750 0.295 0.179
0.250 0.795 0.321
0.750 0.705 0.179
0.250 0.205 0.679
0.749 0.500 0.000
0.750 0.000 0.717
0.750 0.693 0.500
0.250 0.193 0.000
0.250 0.500 0.783
0.250 0.807 0.000
0.750 0.307 0.500
0.250 0.500 0.217
0.750 0.000 0.283
0.250 0.500 0.500
0.750 0.000 0.000
```

[2]
Entry from Alexandria: NdMg2Zn after structural relaxation (PBE).

Energy of formation, eV/atom: -0.085
Space group: P4/mmm
Electronic total energy, eV/atom: -2.392
Size of the total moment, μB per formula unit: 0.01

The structure in POSCAR format:
```
NdMg2Zn
1.0
3.359 0.000 0.000
0.000 3.359 0.000
0.000 0.000 8.377
Zn Mg Nd
1 2 1
direct
0.500 0.500 0.000
0.000 0.000 0.803
0.000 0.000 0.197
0.500 0.500 0.500
```

[3]
Entry from Alexandria: SiB2Mo4 after structural relaxation (PBE).

Space group: R-3m
Energy relative to the elements, uncorrected, eV per atom: -0.13
Electronic total energy, eV/atom: -8.999
Size of the total moment, μB per formula unit: 0.00

The structure in POSCAR format:
```
SiB2Mo4
1.0
-0.984 -2.128 -1.931
1.529 -0.545 -2.568
6.563 -8.815 3.983
B Si Mo
2 1 4
direct
0.904 0.904 0.289
0.096 0.096 0.711
0.000 0.000 0.000
0.607 0.607 0.179
0.800 0.800 0.601
0.200 0.200 0.399
0.393 0.393 0.821
```

[4]
Entry from Alexandria: TmMnGa3 after structural relaxation (PBE).

Energy of formation, eV/atom: -0.213
Space group: Pnma
Electronic total energy, eV/atom: -4.758
Size of the total moment, μB per formula unit: 0.59

The structure in POSCAR format:
```
TmMnGa3
1.0
-1.595 0.665 -5.434
-3.968 -6.084 0.421
-7.207 4.888 2.714
Ga Mn Tm
12 4 4
direct
0.250 0.750 0.537
0.750 0.250 0.037
0.499 0.961 0.750
0.001 0.461 0.250
0.750 0.250 0.463
0.750 0.750 0.963
0.750 0.750 0.537
0.250 0.250 0.037
0.999 0.539 0.750
0.501 0.039 0.250
0.250 0.250 0.463
0.250 0.750 0.963
0.000 0.500 0.000
0.000 0.500 0.500
0.500 0.000 0.500
0.500 0.000 0.000
0.501 0.600 0.250
0.999 0.100 0.750
0.001 0.900 0.250
0.499 0.400 0.750
```